[1]
VASP calculation (GGA-PBE) on a relaxed BaSr2TcOs crystal.

Calculated values
The symmetry is P4/mmm (123). For the formation energy, the calculation gives 0.715 eV per atom. The value obtained for the electronic total energy is -4.66 eV per atom.

Unit cell a=5.8544 b=4.7649 c=5.8544 alpha=90.00 beta=90.00 gamma=90.00
Closest atoms and distances in Å follow each position.
Positions (direct):
Sr1 0.0000 0.0000 0.5000  2 Tc 2.93
Sr2 0.5000 0.0000 0.0000  2 Tc 2.93
Tc1 0.0000 0.0000 0.0000  2 Os 2.38
Ba1 0.5000 0.5000 0.5000  8 Sr 3.77, 4 Os 4.14
Os1 0.0000 0.5000 0.0000  2 Tc 2.38

=====

[2]
VASP calculation (GGA-PBE) on a relaxed BaSrTi2Os crystal.

Calculated values
The symmetry is P4/mmm (123). For the formation energy, the calculation gives 2.317 eV per atom. The value obtained for the electronic total energy is -3.81 eV per atom.

Unit cell a=4.9576 b=5.6379 c=4.9576 alpha=90.00 beta=90.00 gamma=90.00
Closest atoms and distances in Å follow each position.
Positions (direct):
Ti1 0.0000 0.0000 0.5000  2 Ba 2.48
Ti2 0.5000 0.0000 0.0000  2 Ba 2.48
Sr1 0.0000 0.5000 0.0000  2 Ba 2.82
Os1 0.5000 0.5000 0.5000  4 Sr 3.51, 8 Ti 3.75
Ba1 0.0000 0.0000 0.0000  4 Ti 2.48

=====

[3]
VASP calculation (GGA-PBE) on a relaxed Ba2SrOsW crystal.

Calculated values
The symmetry is P4/mmm (123). For the formation energy, the calculation gives 2.312 eV per atom. The value obtained for the electronic total energy is -3.63 eV per atom.

Unit cell a=6.4302 b=4.9269 c=6.4302 alpha=90.00 beta=90.00 gamma=90.00
Closest atoms and distances in Å follow each position.
Positions (direct):
Sr1 0.0000 0.0000 0.0000  2 Os 2.46
W1 0.5000 0.5000 0.5000  8 Ba 4.05
Ba1 0.0000 0.0000 0.5000  2 Sr 3.22
Ba2 0.5000 0.0000 0.0000  2 Sr 3.22
Os1 0.0000 0.5000 0.0000  2 Sr 2.46

=====

[4]
VASP calculation (GGA-PBE) on a relaxed BaSrY2Os crystal.

Calculated values
The symmetry is P4/mmm (123). For the formation energy, the calculation gives 0.075 eV per atom. The value obtained for the electronic total energy is -5.48 eV per atom.

Unit cell a=5.5158 b=6.1170 c=5.5158 alpha=90.00 beta=90.00 gamma=90.00
Closest atoms and distances in Å follow each position.
Positions (direct):
Y1 0.5000 0.0000 0.0000  2 Os 2.76
Y2 0.0000 0.0000 0.5000  2 Os 2.76
Ba1 0.5000 0.5000 0.5000  4 Sr 3.90, 8 Y 4.12
Sr1 0.0000 0.5000 0.0000  2 Os 3.06
Os1 0.0000 0.0000 0.0000  4 Y 2.76, 2 Sr 3.06

=====

[5]
VASP calculation (GGA-PBE) on a relaxed BaSr2ZrOs crystal.

Calculated values
The symmetry is P4/mmm (123). For the formation energy, the calculation gives 0.330 eV per atom. The value obtained for the electronic total energy is -4.68 eV per atom.

Unit cell a=6.1068 b=6.1068 c=5.0906 alpha=90.00 beta=90.00 gamma=90.00
Closest atoms and distances in Å follow each position.
Positions (direct):
Ba1 0.5000 0.5000 0.5000  8 Sr 3.98, 4 Zr 4.32
Sr1 0.5000 0.0000 0.0000  2 Os 3.05
Sr2 0.0000 0.5000 0.0000  2 Os 3.05
Os1 0.0000 0.0000 0.0000  2 Zr 2.55
Zr1 0.0000 0.0000 0.5000  2 Os 2.55

=====

[6]
VASP calculation (GGA-PBE) on a relaxed BaTa2Os crystal.

Calculated values
The symmetry is Pmm2 (25). For the formation energy, the calculation gives 0.527 eV per atom. The calculation puts the energy above the most stable polymorph in this dataset at 0.08 eV/f.u. The value obtained for the electronic total energy is -8.69 eV per atom.

Unit cell a=3.1893 b=3.6958 c=8.1341 alpha=90.00 beta=90.00 gamma=90.00
Closest atoms and distances in Å follow each position.
Positions (direct):
Ta1 0.5000 0.5000 0.1620  1 Os 2.62, 4 Ta 2.86
Ta2 0.0000 0.0000 0.9791  4 Os 2.69, 4 Ta 2.86
Os1 0.5000 0.5000 0.8404  5 Ta 2.62-2.69
Ba1 0.0000 0.0000 0.5185  2 Ba 3.19

=====

[7]
VASP calculation (GGA-PBE) on a relaxed BaTa2Os crystal.

Calculated values
The symmetry is Cm (8). For the formation energy, the calculation gives 0.655 eV per atom. The calculation puts the energy above the most stable polymorph in this dataset at 0.59 eV/f.u. The value obtained for the electronic total energy is -8.56 eV per atom.

Unit cell a=5.1381 b=5.1381 c=6.6748 alpha=78.58 beta=78.58 gamma=37.74
Closest atoms and distances in Å follow each position.
Positions (direct):
Ta1 0.7231 0.7231 0.8654  2 Os 2.51
Ta2 0.9846 0.9846 0.0212  2 Os 2.61, 2 Ta 2.87
Os1 0.2742 0.2742 0.1215  4 Ta 2.51-2.61
Ba1 0.5181 0.5181 0.4919  2 Ba 3.32, 3 Ta 3.50-3.63, 2 Os 3.54

=====

[8]
VASP calculation (GGA-PBE) on a relaxed BaTa2Os crystal.

Calculated values
The symmetry is Fm-3m (225). For the formation energy, the calculation gives 0.987 eV per atom. The calculation puts the energy above the most stable polymorph in this dataset at 1.92 eV/f.u. The value obtained for the electronic total energy is -8.23 eV per atom.

Unit cell a=4.8087 b=4.8087 c=4.8087 alpha=60.00 beta=60.00 gamma=60.00
Closest atoms and distances in Å follow each position.
Positions (direct):
Ba1 0.0000 0.0000 0.0000  8 Ta 2.94
Ta1 0.7500 0.7500 0.7500  4 Os 2.94, 4 Ba 2.94
Ta2 0.2500 0.2500 0.2500  4 Os 2.94, 4 Ba 2.94
Os1 0.5000 0.5000 0.5000  8 Ta 2.94